1.
# Ba2ScIr

Ba2ScIr after structural relaxation (GGA-PBE, Alexandria via LeMat-Bulk).

Calculated formation energy in eV per formula unit: 1.34
ΔE to the lowest computed polymorph in meV/atom: 556

POSCAR file:
```
Ba2ScIr
1.0
-2.4068 -1.0869 -2.6599
1.5165 -3.4249 0.0273
-6.4230 -2.7886 6.9514
Ba Sc Ir
2 1 1
direct
0.0000 0.0000 0.4358
0.0000 0.0000 0.0642
0.5000 0.5000 0.7500
0.5000 0.5000 0.2500
```


2.
# BaSc2Ir

BaSc2Ir after structural relaxation (GGA-PBE, Alexandria via LeMat-Bulk).

Calculated formation energy in eV per formula unit: 1.04
ΔE to the lowest computed polymorph in meV/atom: 603

POSCAR file:
```
BaSc2Ir
1.0
-2.8683 2.2956 3.2155
2.7437 -7.1546 0.7078
2.4979 -0.8815 2.8567
Sc Ba Ir
2 1 1
direct
0.0000 0.5000 0.5000
0.0000 0.0000 0.0000
0.5000 0.5000 0.0000
0.5000 0.0000 0.5000
```


3.
# BaSc2Ir2

BaSc2Ir2 after structural relaxation (GGA-PBE, Alexandria via LeMat-Bulk).

Calculated formation energy in eV per formula unit: -1.62
ΔE to the lowest computed polymorph in meV/atom: 316

POSCAR file:
```
BaSc2Ir2
1.0
4.8085 0.0000 0.0000
0.0000 4.8085 0.0000
2.4042 2.4042 5.5840
Sc Ba Ir
2 1 2
direct
0.6585 0.6585 0.6831
0.3415 0.3415 0.3169
0.0000 0.0000 0.0000
0.2500 0.7500 0.5000
0.7500 0.2500 0.5000
```


4.
# Ba2ScIr

Ba2ScIr after structural relaxation (GGA-PBE, Alexandria via LeMat-Bulk).

Calculated formation energy in eV per formula unit: -0.82
ΔE to the lowest computed polymorph in meV/atom: 17

POSCAR file:
```
Ba2ScIr
1.0
-0.2647 -0.2796 3.7281
3.9236 -0.8013 0.2185
3.8106 8.9549 0.9421
Ir Sc Ba
1 1 2
direct
0.0000 0.2602 0.6039
0.5000 0.7407 0.6431
0.0000 0.1017 0.9240
0.5000 0.3975 0.3290
```


5.
# BaSc2Ir

BaSc2Ir after structural relaxation (GGA-PBE, Alexandria via LeMat-Bulk).

Calculated formation energy in eV per formula unit: 1.00
ΔE to the lowest computed polymorph in meV/atom: 592

POSCAR file:
```
BaSc2Ir
1.0
-3.9608 2.6311 -1.8883
-2.0997 -1.3841 -4.4556
-4.6621 -2.1057 -0.0863
Sc Ir Ba
2 1 1
direct
0.0000 0.0000 0.0000
0.2500 0.2500 0.2500
0.7500 0.7500 0.7500
0.5000 0.5000 0.5000
```


6.
# Ba2ScIr

Ba2ScIr after structural relaxation (GGA-PBE, Alexandria via LeMat-Bulk).

Calculated formation energy in eV per formula unit: -0.04
ΔE to the lowest computed polymorph in meV/atom: 212

POSCAR file:
```
Ba2ScIr
1.0
-7.0109 -3.4322 -8.8925
2.2757 -11.3224 2.5759
-4.3297 -7.4163 -1.5963
Sc Ir Ba
2 2 4
direct
0.5000 0.5000 0.0000
0.2500 0.7500 0.5000
0.7500 0.2500 0.5000
0.0000 0.0000 0.0000
0.9637 0.6250 0.2500
0.8750 0.0363 0.7500
0.7863 0.1250 0.2500
0.3750 0.2137 0.7500
```


7.
# BaScIr3

BaScIr3 after structural relaxation (GGA-PBE, Alexandria via LeMat-Bulk).

Calculated formation energy in eV per formula unit: 3.38
ΔE to the lowest computed polymorph in meV/atom: 0

POSCAR file:
```
BaScIr3
1.0
-2.9421 -3.6901 1.3526
3.6470 -3.1931 -0.7784
1.4648 0.5383 4.6548
Sc Ir Ba
1 3 1
direct
0.0000 0.0000 0.0000
0.0000 0.0000 0.5000
0.0000 0.5000 0.0000
0.5000 0.0000 0.0000
0.5000 0.5000 0.5000
```


8.
# BaSc2Ir

BaSc2Ir after structural relaxation (GGA-PBE, Alexandria via LeMat-Bulk).

Calculated formation energy in eV per formula unit: -0.70
ΔE to the lowest computed polymorph in meV/atom: 168

POSCAR file:
```
BaSc2Ir
1.0
2.2540 0.0000 10.1063
-1.1270 1.9520 10.1063
-1.1270 -1.9520 10.1063
Sc Ir Ba
2 1 1
direct
0.8762 0.8762 0.8762
0.1238 0.1238 0.1238
0.5000 0.5000 0.5000
0.0000 0.0000 0.0000
```


9.
# BaScIr

BaScIr after structural relaxation (GGA-PBE, Alexandria via LeMat-Bulk).

Calculated formation energy in eV per formula unit: -0.12
ΔE to the lowest computed polymorph in meV/atom: 232

POSCAR file:
```
BaScIr
1.0
4.9359 0.0000 0.0000
2.4679 4.2746 0.0000
2.4679 1.4249 4.0301
Ba Ir Sc
1 1 1
direct
0.5000 0.5000 0.5000
0.7500 0.7500 0.7500
0.0000 0.0000 0.0000
```


10.
# BaSc2Ir

BaSc2Ir after structural relaxation (GGA-PBE, Alexandria via LeMat-Bulk).

Calculated formation energy in eV per formula unit: -1.29
ΔE to the lowest computed polymorph in meV/atom: 19

POSCAR file:
```
BaSc2Ir
1.0
3.3849 0.0000 0.0000
0.0000 3.3594 0.0012
0.0000 3.3383 9.3133
Ba Sc Ir
1 2 1
direct
0.5000 0.2500 0.2500
0.0000 0.4092 0.5905
0.0000 0.0908 0.9095
0.5000 0.7500 0.7500
```


11.
# BaScIr3

BaScIr3 after structural relaxation (GGA-PBE, Alexandria via LeMat-Bulk).

Calculated formation energy in eV per formula unit: 10.59
ΔE to the lowest computed polymorph in meV/atom: 1443

POSCAR file:
```
BaScIr3
1.0
-1.7296 -4.7260 0.3429
4.7360 -1.7123 0.2880
-0.1534 0.4207 5.0243
Ir Ba Sc
3 1 1
direct
0.0000 0.5000 0.0000
0.5000 0.0000 0.0000
0.0000 0.0000 0.5000
0.0000 0.0000 0.0000
0.5000 0.5000 0.5000
```


12.
# BaScIr

BaScIr after structural relaxation (GGA-PBE, Alexandria via LeMat-Bulk).

Calculated formation energy in eV per formula unit: 2.74
ΔE to the lowest computed polymorph in meV/atom: 1186

POSCAR file:
```
BaScIr
1.0
4.8248 0.0000 0.0000
2.4124 4.1784 0.0000
2.4124 1.3928 3.9395
Ir Ba Sc
1 1 1
direct
0.0000 0.0000 0.0000
0.7500 0.7500 0.7500
0.5000 0.5000 0.5000
```


13.
# BaSc2Ir

BaSc2Ir after structural relaxation (GGA-PBE, Alexandria via LeMat-Bulk).

Calculated formation energy in eV per formula unit: -0.65
ΔE to the lowest computed polymorph in meV/atom: 180

POSCAR file:
```
BaSc2Ir
1.0
6.3834 -0.0255 -0.0150
2.7395 5.7657 0.0150
-3.6992 -4.2405 3.0137
Ir Ba Sc
1 1 2
direct
0.2500 0.7500 0.5000
0.7500 0.2500 0.5000
0.4306 0.4306 0.0000
0.0694 0.0694 0.0000
```


14.
# Ba2ScIr

Ba2ScIr after structural relaxation (GGA-PBE, Alexandria via LeMat-Bulk).

Calculated formation energy in eV per formula unit: 1.64
ΔE to the lowest computed polymorph in meV/atom: 631

POSCAR file:
```
Ba2ScIr
1.0
-4.9314 3.1836 2.3090
-5.3760 -0.0312 -3.2990
4.1901 -4.2260 2.0904
Ba Ir Sc
2 1 1
direct
0.0000 0.0000 0.0000
0.5000 0.5000 0.0000
0.2500 0.7500 0.5000
0.7500 0.2500 0.5000
```


15.
# BaSc2Ir

BaSc2Ir after structural relaxation (GGA-PBE, Alexandria via LeMat-Bulk).

Calculated formation energy in eV per formula unit: -0.83
ΔE to the lowest computed polymorph in meV/atom: 134

POSCAR file:
```
BaSc2Ir
1.0
-2.1584 1.7036 7.7919
0.4956 -3.2085 7.5983
2.8160 2.6765 -7.2925
Sc Ir Ba
2 1 1
direct
0.7404 0.2404 0.5000
0.1036 0.1036 0.0000
0.2326 0.7326 0.5000
0.4234 0.4234 0.0000
```


16.
# BaScIr

BaScIr after structural relaxation (GGA-PBE, Alexandria via LeMat-Bulk).

Calculated formation energy in eV per formula unit: -0.82
ΔE to the lowest computed polymorph in meV/atom: 0

POSCAR file:
```
BaScIr
1.0
7.3492 0.0193 -0.0204
6.5338 3.3648 -0.0152
0.8154 0.1938 3.3398
Sc Ba Ir
1 1 1
direct
0.7199 0.7199 0.2801
0.9735 0.9735 0.0265
0.3066 0.3066 0.6934
```


17.
# Ba2ScIr

Ba2ScIr after structural relaxation (GGA-PBE, Alexandria via LeMat-Bulk).

Calculated formation energy in eV per formula unit: -0.55
ΔE to the lowest computed polymorph in meV/atom: 84

POSCAR file:
```
Ba2ScIr
1.0
-3.9024 7.7407 -4.6277
-8.1216 5.0534 -2.2505
6.7011 -4.6536 5.4774
Sc Ba Ir
1 2 1
direct
0.7500 0.2500 0.5000
0.1020 0.1020 0.0000
0.3980 0.3980 0.0000
0.2500 0.7500 0.5000
```


18.
# Ba2ScIr

Ba2ScIr after structural relaxation (GGA-PBE, Alexandria via LeMat-Bulk).

Calculated formation energy in eV per formula unit: -0.41
ΔE to the lowest computed polymorph in meV/atom: 119

POSCAR file:
```
Ba2ScIr
1.0
-0.2404 6.6701 -2.2823
-1.7620 1.2809 -6.7091
-1.7824 -2.6461 6.2911
Ba Ir Sc
2 1 1
direct
0.9954 0.9954 0.0000
0.3119 0.8119 0.5000
0.5289 0.5289 0.0000
0.6639 0.1639 0.5000
```


19.
# BaSc2Ir

BaSc2Ir after structural relaxation (GGA-PBE, Alexandria via LeMat-Bulk).

Calculated formation energy in eV per formula unit: 2.12
ΔE to the lowest computed polymorph in meV/atom: 873

POSCAR file:
```
BaSc2Ir
1.0
5.9613 8.2157 5.0047
8.2464 5.8984 5.0286
7.8626 7.7783 2.3998
Sc Ir Ba
2 1 1
direct
0.0723 0.0723 0.0723
0.9277 0.9277 0.9277
0.0000 0.0000 0.0000
0.5000 0.5000 0.5000
```


20.
# BaY2ScIr

BaY2ScIr after structural relaxation (GGA-PBE, Alexandria via LeMat-Bulk).

Calculated formation energy in eV per formula unit: -1.52

POSCAR file:
```
BaY2ScIr
1.0
-3.3990 0.0406 -4.3977
0.8850 -5.4381 -0.7342
-4.0736 -1.0867 3.1384
Y Ir Sc Ba
2 1 1 1
direct
0.0000 0.5000 0.0000
0.5000 0.0000 0.0000
0.0000 0.0000 0.0000
0.0000 0.0000 0.5000
0.5000 0.5000 0.5000
```


21.
# BaIrSe2

BaIrSe2 after structural relaxation (GGA-PBE, Alexandria via LeMat-Bulk).

ΔE to the lowest computed polymorph in meV/atom: 793

POSCAR file:
```
BaIrSe2
1.0
3.4910 0.0000 0.0000
0.0000 3.4887 0.0000
0.0000 0.0000 7.4773
Ir Ba Se
1 1 2
direct
0.5000 0.5000 0.7500
0.5000 0.5000 0.2500
0.0000 0.0000 0.9427
0.0000 0.0000 0.5573
```


22.
# BaIrSe

BaIrSe after structural relaxation (GGA-PBE, Alexandria via LeMat-Bulk).

ΔE to the lowest computed polymorph in meV/atom: 0

POSCAR file:
```
BaIrSe
1.0
-0.4166 0.4334 4.3926
4.2457 -2.1519 0.6156
1.8582 8.5397 -0.6998
Se Ir Ba
2 2 2
direct
0.7536 0.6721 0.3424
0.2464 0.3279 0.6576
0.7504 0.5074 0.0551
0.2496 0.4926 0.9449
0.7473 0.8727 0.7455
0.2527 0.1273 0.2545
```


23.
# BaIrSe2

BaIrSe2 after structural relaxation (GGA-PBE, Alexandria via LeMat-Bulk).

ΔE to the lowest computed polymorph in meV/atom: 55

POSCAR file:
```
BaIrSe2
1.0
-0.0716 -1.3807 -5.4890
2.9395 -3.0898 -3.7220
-2.4691 -5.0965 -0.7219
Ba Se Ir
1 2 1
direct
0.5513 0.5513 0.4522
0.8986 0.8986 0.1848
0.7372 0.7372 0.8360
0.3128 0.3128 0.0271
```


24.
# BaIrSe2

BaIrSe2 after structural relaxation (GGA-PBE, Alexandria via LeMat-Bulk).

ΔE to the lowest computed polymorph in meV/atom: 410

POSCAR file:
```
BaIrSe2
1.0
3.1317 0.3187 3.9105
4.6863 -0.4211 -1.7501
2.0402 4.5867 -0.0391
Se Ba Ir
2 1 1
direct
0.2091 0.2091 0.2091
0.7909 0.7909 0.7909
0.5000 0.5000 0.5000
0.0000 0.0000 0.0000
```


25.
# BaIr2Se

BaIr2Se after structural relaxation (GGA-PBE, Alexandria via LeMat-Bulk).

POSCAR file:
```
BaIr2Se
1.0
5.7210 0.0068 -0.0010
1.2652 5.5793 0.0010
-2.5417 -3.9829 3.2258
Ir Se Ba
2 1 1
direct
0.7509 0.2509 0.5000
0.9176 0.9176 0.0000
0.5698 0.5698 0.0000
0.2617 0.7617 0.5000
```


26.
# BaIr2Se

BaIr2Se after structural relaxation (GGA-PBE, Alexandria via LeMat-Bulk).

POSCAR file:
```
BaIr2Se
1.0
-4.1027 -1.5423 -2.6898
-0.0117 -2.6699 4.3952
-1.8286 2.3660 1.4324
Ba Ir Se
1 2 1
direct
0.0000 0.5000 0.5000
0.0000 0.0000 0.0000
0.5000 0.5000 0.0000
0.5000 0.0000 0.5000
```


27.
# BaIrSe2

BaIrSe2 after structural relaxation (GGA-PBE, Alexandria via LeMat-Bulk).

ΔE to the lowest computed polymorph in meV/atom: 595

POSCAR file:
```
BaIrSe2
1.0
3.4703 0.0049 0.0000
-0.0040 3.4703 0.0000
0.0000 0.0000 8.9613
Ba Se Ir
1 2 1
direct
0.0000 0.0000 0.5139
0.0000 0.0000 0.8963
0.5000 0.5000 0.2815
0.5000 0.5000 0.8083
```


28.
# BaIrSe2

BaIrSe2 after structural relaxation (GGA-PBE, Alexandria via LeMat-Bulk).

ΔE to the lowest computed polymorph in meV/atom: 944

POSCAR file:
```
BaIrSe2
1.0
-1.9387 1.0793 -5.6195
-0.2923 -4.5622 -3.9501
-1.7526 1.1645 5.6635
Se Ir Ba
2 1 1
direct
0.0000 0.0000 0.0000
0.2500 0.7500 0.5000
0.7500 0.2500 0.5000
0.5000 0.5000 0.0000
```


29.
# BaIrSe

BaIrSe after structural relaxation (GGA-PBE, Alexandria via LeMat-Bulk).

ΔE to the lowest computed polymorph in meV/atom: 24

POSCAR file:
```
BaIrSe
1.0
4.9815 0.0000 -0.0002
0.0000 4.2948 0.0000
-2.4725 0.0000 8.4552
Ba Se Ir
2 2 2
direct
0.0958 0.5000 0.3726
0.8403 0.5000 0.8559
0.5533 0.0000 0.2873
0.2571 0.0000 0.6845
0.4707 0.5000 0.1201
0.3952 0.0000 0.9668
```


30.
# Ba2IrSe

Ba2IrSe after structural relaxation (GGA-PBE, Alexandria via LeMat-Bulk).

POSCAR file:
```
Ba2IrSe
1.0
-4.8320 7.4532 0.8064
-6.4728 5.4052 -2.9044
-7.8409 4.0720 1.2196
Ir Se Ba
1 1 2
direct
0.4580 0.4580 0.4580
0.7920 0.7920 0.7920
0.0470 0.0470 0.0470
0.2029 0.2029 0.2029
```


no.,final energy (Ry/atom)
1,-0.3252
2,-0.4117
3,-0.4988
4,-0.3648
5,-0.4125
6,-0.3505
7,-0.4625
8,-0.4436
9,-0.4223
10,-0.4546
11,-0.3564
12,-0.3522
13,-0.4427
14,-0.3197
15,-0.4461
16,-0.4394
17,-0.3599
18,-0.3574
19,-0.3918
20,-0.4640
21,-0.3299
22,-0.4095
23,-0.3842
24,-0.3580
25,-0.4230
26,-0.3719
27,-0.3444
28,-0.3188
29,-0.4077
30,-0.3439